[1]
Entry from Alexandria via LeMat-Bulk: an optimized crystal structure of La2Tm3Sc (GGA-PBE).

abc: 3.4135 8.9444 12.9408
angles: 78.48 82.42 79.00
Sites, in units of the cell vectors:
Tm (0.4007, 0.1696, 0.0290)
La (0.8185, 0.4904, 0.8726)
Tm (0.7386, 0.8186, 0.7042)
Tm (0.5993, 0.8304, 0.9710)
La (0.3518, 0.8302, 0.4662)
La (0.1815, 0.5096, 0.1274)
Tm (0.9617, 0.8702, 0.2064)
Tm (0.2614, 0.1814, 0.2958)
Sc (0.4360, 0.4892, 0.6388)
La (0.6482, 0.1698, 0.5338)
Tm (0.0383, 0.1298, 0.7936)
Sc (0.5640, 0.5108, 0.3612)

## Properties
calculated total energy: -4.782 eV/atom

[2]
Entry from Alexandria via LeMat-Bulk: an optimized crystal structure of NbAs3Os (GGA-PBE).

abc: 4.7623 4.7623 4.7623
angles: 90.00 90.00 90.00
Sites, in units of the cell vectors:
As (0.0000, 0.5000, 0.0000)
As (0.5000, 0.0000, 0.0000)
As (0.0000, 0.0000, 0.5000)
Os (0.0000, 0.0000, 0.0000)
Nb (0.5000, 0.5000, 0.5000)

## Properties
calculated total energy: -5.974 eV/atom

[3]
Entry from Alexandria via LeMat-Bulk: an optimized crystal structure of NdSn2Ge2Pt7 (GGA-PBE).

abc: 3.9766 3.9766 16.0088
angles: 82.95 82.95 90.02
Sites, in units of the cell vectors:
Pt (0.3006, 0.3006, 0.3977)
Sn (0.7871, 0.7871, 0.4265)
Pt (0.4281, 0.9280, 0.1459)
Pt (0.0720, 0.5719, 0.8541)
Ge (0.6194, 0.6194, 0.7580)
Ge (0.3806, 0.3806, 0.2420)
Pt (0.5000, 0.5000, 0.0000)
Pt (0.9280, 0.4281, 0.1459)
Pt (0.6994, 0.6994, 0.6023)
Pt (0.5719, 0.0720, 0.8541)
Nd (0.0000, 0.0000, 0.0000)
Sn (0.2129, 0.2129, 0.5735)

## Properties
calculated total energy: -5.911 eV/atom

[4]
Entry from Alexandria via LeMat-Bulk: an optimized crystal structure of KGeSeN2 (GGA-PBE).

abc: 4.1927 4.1927 5.1865
angles: 90.00 90.00 90.00
Last column: magnetic moment on the atom in μB.
Sites, in units of the cell vectors:
N (0.0000, 0.5000, 0.0000)  0.94
Ge (0.0000, 0.0000, 0.0000)  -0.08
N (0.5000, 0.0000, 0.0000)  0.94
Se (0.0000, 0.0000, 0.5000)  0.32
K (0.5000, 0.5000, 0.5000)  0.01

## Properties
energy relative to the elements, uncorrected: 0.890 eV/atom

[5]
Entry from Alexandria via LeMat-Bulk: an optimized crystal structure of Tc2HgRu (GGA-PBE).

abc: 2.7899 2.7899 8.1385
angles: 90.00 90.00 90.00
Last column: magnetic moment on the atom in μB.
Sites, in units of the cell vectors:
Ru (0.5000, 0.5000, 0.7500)  0.01
Tc (0.0000, 0.0000, 0.9747)  0.14
Hg (0.5000, 0.5000, 0.2500)  0.00
Tc (0.0000, 0.0000, 0.5253)  0.14

## Properties
calculated total energy: -7.205 eV/atom

[6]
Entry from Alexandria via LeMat-Bulk: an optimized crystal structure of FePBr2 (GGA-PBE).

abc: 8.2791 8.2791 8.2791
angles: 155.53 156.52 34.17
Last column: magnetic moment on the atom in μB.
Sites, in units of the cell vectors:
Fe (0.7500, 0.2500, 0.5000)  2.55
P (0.2500, 0.7500, 0.5000)  -0.07
Br (0.6103, 0.6103, 0.0000)  0.01
Br (0.8897, 0.8897, 0.0000)  0.01

## Properties
energy relative to the elements, uncorrected: 0.163 eV/atom